VASP calculation (PBE) on an optimized crystal structure of MnB4W3.

Volume in Å³/cell: 80.58
Magnetic moment in Bohr magnetons per cell: 2.1
Total energy in eV/atom: -9.74
Energy relative to the elements in meV per atom: -395

Lattice parameters (Å, degrees): 3.074 3.154 8.312 90.00 90.00 90.00
Sites, in units of the cell vectors:
Mn1 0.000 0.000 0.000
B1 0.000 0.000 0.292
B2 0.000 0.500 0.814
B3 0.500 0.000 0.420
B4 0.500 0.500 0.935
W1 0.000 0.500 0.510
W2 0.500 0.000 0.723
W3 0.500 0.500 0.211


VASP calculation (PBE) on an optimized crystal structure of SrTm2RhO5.

Volume in Å³/cell: 125.55
Magnetic moment in Bohr magnetons per cell: 1.3
Total energy in eV/atom: -7.26
Formation energy from raw total energies in eV per atom: -2.513

Lattice parameters (Å, degrees): 6.708 6.708 6.708 146.53 130.41 61.16
Sites, in units of the cell vectors:
Sr1 0.000 0.000 0.000
Tm1 0.297 0.797 0.500
Tm2 0.703 0.203 0.500
Rh1 0.500 0.500 0.000
O1 0.101 0.344 0.756
O2 0.412 0.656 0.756
O3 0.500 0.000 0.500
O4 0.588 0.344 0.244
O5 0.899 0.656 0.244


VASP calculation (PBE) on an optimized crystal structure of HgTeBr2.

Volume in Å³/cell: 142.77
Magnetic moment in Bohr magnetons per cell: 0.4
Total energy in eV/atom: -1.65
Polymorph energy (0 for the lowest one) in meV per atom: 259.4
Formation energy from raw total energies in eV per atom: 0.049

Lattice parameters (Å, degrees): 11.902 11.902 11.902 18.14 18.14 18.14
Sites, in units of the cell vectors:
Hg1 0.000 0.000 0.000
Te1 0.500 0.500 0.500
Br1 0.282 0.282 0.282
Br2 0.718 0.718 0.718


VASP calculation (PBE) on an optimized crystal structure of Ca2Co2Re.

Volume in Å³/cell: 183.42
Magnetic moment in Bohr magnetons per cell: 0.9
Total energy in eV/atom: -5.82
Energy relative to the elements in meV per atom: 308

Lattice parameters (Å, degrees): 6.207 6.207 4.761 90.00 90.00 90.00
Sites, in units of the cell vectors:
Ca1 0.184 0.316 0.000
Ca2 0.316 0.816 0.000
Ca3 0.684 0.184 0.000
Ca4 0.816 0.684 0.000
Co1 0.129 0.629 0.500
Co2 0.371 0.129 0.500
Co3 0.629 0.871 0.500
Co4 0.871 0.371 0.500
Re1 0.000 0.000 0.500
Re2 0.500 0.500 0.500


VASP calculation (PBE) on an optimized crystal structure of MnNi7Te2P2.

Volume in Å³/cell: 179.04
Magnetic moment in Bohr magnetons per cell: 4.1
Total energy in eV/atom: -5.80
Formation energy from raw total energies in eV per atom: -0.234

Lattice parameters (Å, degrees): 13.658 13.658 13.658 164.63 164.63 21.81
Sites, in units of the cell vectors:
Mn1 0.000 0.000 0.000
Ni1 0.067 0.567 0.500
Ni2 0.304 0.304 0.000
Ni3 0.433 0.933 0.500
Ni4 0.500 0.500 0.000
Ni5 0.567 0.067 0.500
Ni6 0.696 0.696 0.000
Ni7 0.933 0.433 0.500
Te1 0.207 0.207 0.000
Te2 0.793 0.793 0.000
P1 0.387 0.387 0.000
P2 0.613 0.613 0.000


VASP calculation (PBE) on an optimized crystal structure of LuCrB4.

Volume in Å³/cell: 225.39
Magnetic moment in Bohr magnetons per cell: 0.0
Total energy in eV/atom: -7.51
Energy relative to the elements in meV per atom: -705
Polymorph energy (0 for the lowest one) in meV per atom: 0.0

Lattice parameters (Å, degrees): 5.871 11.332 3.388 90.00 90.00 90.00
Sites, in units of the cell vectors:
Lu1 0.125 0.150 0.000
Lu2 0.375 0.650 0.000
Lu3 0.625 0.350 0.000
Lu4 0.875 0.850 0.000
Cr1 0.124 0.420 0.000
Cr2 0.376 0.920 0.000
Cr3 0.624 0.080 0.000
Cr4 0.876 0.580 0.000
B1 0.025 0.693 0.500
B2 0.114 0.547 0.500
B3 0.135 0.968 0.500
B4 0.217 0.815 0.500
B5 0.283 0.315 0.500
B6 0.365 0.468 0.500
B7 0.386 0.047 0.500
B8 0.475 0.193 0.500
B9 0.525 0.807 0.500
B10 0.614 0.953 0.500
B11 0.635 0.532 0.500
B12 0.717 0.685 0.500
B13 0.783 0.185 0.500
B14 0.865 0.032 0.500
B15 0.886 0.453 0.500
B16 0.975 0.307 0.500